1.
A plane-wave DFT calculation with PBE was carried out for RbSr2BiSe4 after structural relaxation.

Cell lengths 8.9515, 9.0266, 12.5808 Å; angles 90.00, 90.00, 90.00 degrees
Space group Imma (No. 74)
Symmetry-distinct sites (fractional):
1 Rb 0.2500 0.2500 0.2500
2 Sr 0.0000 0.0000 0.0000
3 Sr 0.2500 0.2500 0.7500
4 Bi 0.0000 0.0000 0.5000
5 Se 0.0000 0.0177 0.7411
6 Se 0.2372 0.2500 0.5067

Summary:
magnetization: 0.000 μB per atom
formation energy (no corrections): -1.311 eV per atom
crystal system: orthorhombic



2.
A plane-wave DFT calculation with PBE was carried out for Ce2CuNi3Sn4 after structural relaxation.

Cell lengths 4.4666, 4.4666, 10.1433 Å; angles 90.00, 90.00, 90.00 degrees
Space group P-4m2 (No. 115)
Symmetry-distinct sites (fractional):
1 Ce 0.0000 0.5000 0.2399
2 Cu 0.5000 0.5000 0.0000
3 Ni 0.0000 0.0000 0.0000
4 Ni 0.0000 0.5000 0.6248
5 Sn 0.0000 0.0000 0.5000
6 Sn 0.0000 0.5000 0.8699
7 Sn 0.5000 0.5000 0.5000

Summary:
magnetization: 0.126 μB per atom
energy of formation: -0.47 eV per atom
crystal system: tetragonal



3.
A plane-wave DFT calculation with PBE was carried out for Li2Ca2NdTl2 after structural relaxation.

Cell lengths 4.9993, 4.9993, 27.6146 Å; angles 90.00, 90.00, 120.00 degrees
Space group R-3m (No. 166, hexagonal axes)
Symmetry-distinct sites (fractional):
1 Li 0.0000 0.0000 0.1066
2 Ca 0.0000 0.0000 0.3743
3 Nd 0.0000 0.0000 0.5000
4 Tl 0.0000 0.0000 0.2330

Summary:
magnetization: 0.000 μB per atom
energy of formation: -0.24 eV per atom
crystal system: trigonal



4.
A plane-wave DFT calculation with PBE was carried out for Ca4InAu after structural relaxation.

Cell lengths 5.8094, 7.2803, 8.9363 Å; angles 90.00, 100.01, 90.00 degrees
Space group P2_1/m (No. 11)
Symmetry-distinct sites (fractional):
1 Ca 0.1526 0.2500 0.0649
2 Ca 0.2172 0.7500 0.3716
3 Ca 0.3205 0.5123 0.7436
4 In 0.2271 0.2500 0.4262
5 Au 0.3625 0.7500 0.0433

Summary:
magnetization: 0.000 μB per atom
energy of formation: -0.46 eV per atom
crystal system: monoclinic
relative energy among the computed polymorphs: 0.0000 eV per atom



5.
A plane-wave DFT calculation with PBE was carried out for Li2CaTe after structural relaxation.

Cell lengths 3.9521, 3.9521, 6.7760 Å; angles 90.00, 90.00, 90.00 degrees
Space group P4mm (No. 99)
Symmetry-distinct sites (fractional):
1 Li 0.0000 0.0000 0.0000
2 Li 0.5000 0.5000 0.1946
3 Ca 0.5000 0.5000 0.6612
4 Te 0.0000 0.0000 0.4161

Summary:
magnetization: 0.000 μB per atom
formation energy (no corrections): -0.639 eV per atom
crystal system: tetragonal



6.
A plane-wave DFT calculation with PBE was carried out for Th3Sb2Te after structural relaxation.

Cell lengths 6.3610, 19.0513, 6.3600 Å; angles 90.00, 90.00, 90.00 degrees
Space group Cmmm (No. 65)
Symmetry-distinct sites (fractional):
1 Th 0.0000 0.0000 0.0000
2 Th 0.0000 0.1656 0.5000
3 Th 0.0000 0.3331 0.0000
4 Th 0.0000 0.5000 0.5000
5 Sb 0.0000 0.0000 0.5000
6 Sb 0.0000 0.1666 0.0000
7 Sb 0.0000 0.5000 0.0000
8 Te 0.0000 0.3333 0.5000

Summary:
magnetization: 0.000 μB per atom
formation energy (no corrections): -0.940 eV per atom
crystal system: orthorhombic
relative energy among the computed polymorphs: 0.0000 eV per atom